(1)
## Ta2CdB (PBE)

Data for crystalline Ta2CdB at its relaxed geometry.

Geometry as POSCAR:
```
Ta2CdB
1.0
-3.4499 3.4499 2.7672
3.4499 -3.4499 2.7672
3.4499 3.4499 -2.7672
Ta Cd B
4 2 2
Direct
0.0677 0.6250 0.9427
0.3750 0.3177 0.4427
0.6823 0.1250 0.0573
0.8750 0.9323 0.5573
0.2500 0.7500 0.5000
0.5000 0.5000 0.0000
0.0000 0.0000 0.0000
0.7500 0.2500 0.5000
```

Calculated values
energy relative to the lowest polymorph listed for this composition = 0 meV/atom
ΔH_f (0 K) = 0.49 eV/atom
crystal system = tetragonal

---

(2)
## TaCdB3 (PBE)

Data for crystalline TaCdB3 at its relaxed geometry.

Geometry as POSCAR:
```
TaCdB3
1.0
4.3117 0.0000 0.0000
0.0000 4.3117 0.0000
0.0000 0.0000 4.3117
Ta Cd B
1 1 3
Direct
0.0000 0.0000 0.0000
0.5000 0.5000 0.5000
0.0000 0.0000 0.5000
0.0000 0.5000 0.0000
0.5000 0.0000 0.0000
```

Calculated values
energy relative to the lowest polymorph listed for this composition = 0 meV/atom
ΔH_f (0 K) = 1.38 eV/atom
crystal system = cubic

---

(3)
## Tb3CdB (PBE)

Data for crystalline Tb3CdB at its relaxed geometry.

Geometry as POSCAR:
```
Tb3CdB
1.0
5.0758 0.0000 0.0000
0.0000 5.0758 0.0000
0.0000 0.0000 5.0758
Tb Cd B
3 1 1
Direct
0.0000 0.0000 0.5000
0.0000 0.5000 0.0000
0.5000 0.0000 0.0000
0.5000 0.5000 0.5000
0.0000 0.0000 0.0000
```

Calculated values
ΔH_f (0 K) = -0.09 eV/atom
crystal system = cubic

---

(4)
## CdTcB3 (PBE)

Data for crystalline CdTcB3 at its relaxed geometry.

Geometry as POSCAR:
```
CdTcB3
1.0
4.2375 0.0000 0.0000
0.0000 4.2375 0.0000
0.0000 0.0000 4.2375
Cd Tc B
1 1 3
Direct
0.0000 0.0000 0.0000
0.5000 0.5000 0.5000
0.0000 0.0000 0.5000
0.0000 0.5000 0.0000
0.5000 0.0000 0.0000
```

Calculated values
energy relative to the lowest polymorph listed for this composition = 1622 meV/atom
ΔH_f (0 K) = 2.68 eV/atom
crystal system = cubic

---

Number 1: magnetization 0.000 μB/cell. Number 2: magnetization 0.000 μB/cell. Number 3: magnetization 1.461 μB/cell. Number 4: magnetization 2.680 μB/cell.